The following is a PBE-GGA calculation of crystalline BaMgSiNi at its relaxed geometry, from Alexandria.

abc: 4.1138 4.1138 12.5279
angles: 90.00 90.00 90.00
Last column: nearest neighbours and their distance in Å.
Element x y z (fractional)
1 Mg 0.2500 0.7500 0.5000  4 Mg 2.91
2 Mg 0.7500 0.2500 0.5000  4 Mg 2.91
3 Si 0.2500 0.2500 0.0831  4 Ni 2.31
4 Si 0.7500 0.7500 0.9169  4 Ni 2.31
5 Ni 0.2500 0.7500 0.0000  4 Si 2.31
6 Ni 0.7500 0.2500 0.0000  4 Si 2.31
7 Ba 0.7500 0.7500 0.2242  4 Si 3.40, 4 Ni 3.48
8 Ba 0.2500 0.2500 0.7758  4 Si 3.40, 4 Ni 3.48

Computed properties:
DOS(E_F) in states/eV/f.u.: 2.5
Raw total energy in eV per atom: -3.97
Symmetry: P4/nmm
Calculated density in g/cm³: 3.9
Crystal system: tetragonal


The following is a PBE-GGA calculation of crystalline Ac2BPd6Rh at its relaxed geometry, from Alexandria.

abc: 5.8207 7.4633 7.4643
angles: 45.91 67.03 89.99
Last column: nearest neighbours and their distance in Å.
Element x y z (fractional)
1 Pd 0.7308 0.7869 0.5387  1 B 2.09
2 Pd 0.2692 0.7307 0.9436  1 B 2.09
3 Pd 0.2130 0.2692 0.0564  1 B 2.09
4 Pd 0.2692 0.2131 0.4613  1 B 2.09
5 Pd 0.7870 0.7308 0.9436  1 B 2.09
6 Pd 0.7308 0.2693 0.0564  1 B 2.09
7 Ac 0.2831 0.7172 0.4343  6 Pd 3.13, 2 Rh 3.51
8 Ac 0.7169 0.2828 0.5657  6 Pd 3.13, 2 Rh 3.51
9 Rh 0.0000 0.0000 0.0000  6 Pd 2.71
10 B 0.5000 0.5000 0.0000  6 Pd 2.09

Computed properties:
DOS(E_F) in states/eV/f.u.: 4.7
Energy of formation from the pure elements in eV/atom: -0.58
Symmetry: R-3m
Calculated density in g/cm³: 10.2
Crystal system: trigonal